K2AlSO6: relaxed, PBE-GGA. Values from VASP.

- DFT total energy: -5.561 eV/atom
- Energy relative to the elements, uncorrected: -1.5796 eV/atom

Quantum ESPRESSO input file:
```
&SYSTEM
  ibrav = 0, nat = 10, ntyp = 4
/
ATOMIC_SPECIES
K 39.10 K.upf
Al 26.98 Al.upf
S 32.06 S.upf
O 16.00 O.upf
ATOMIC_POSITIONS angstrom
K 0.000 3.448 0.851
K 2.986 1.724 3.927
Al 0.000 0.000 2.389
S 0.000 0.000 0.000
O 0.000 1.338 3.751
O -1.827 4.503 3.751
O 1.158 0.669 1.027
O 1.827 4.503 3.751
O 4.813 0.669 1.027
O 2.986 3.834 1.027
CELL_PARAMETERS angstrom
5.972 0.000 0.000
-2.986 5.172 0.000
0.000 0.000 4.778
```

NaInCl2: relaxed, PBE-GGA. Values from VASP.

- Distance to the lowest polymorph of the same formula: 10 meV per atom
- DFT total energy: -3.209 eV/atom
- Energy relative to the elements, uncorrected: -1.2715 eV/atom

Quantum ESPRESSO input file:
```
&SYSTEM
  ibrav = 0, nat = 16, ntyp = 3
/
ATOMIC_SPECIES
Na 22.99 Na.upf
In 114.82 In.upf
Cl 35.45 Cl.upf
ATOMIC_POSITIONS angstrom
Na 0.437 1.227 0.000
Na 4.422 5.751 2.845
Na 5.296 3.297 0.000
Na 9.282 7.822 2.845
In 1.391 5.253 5.684
In 3.469 0.729 2.838
In 6.250 8.320 5.684
In 8.328 3.796 2.838
Cl 0.514 1.359 2.843
Cl 1.760 6.243 2.841
Cl 3.099 1.719 5.686
Cl 4.345 5.883 5.688
Cl 5.374 3.165 2.843
Cl 6.619 7.329 2.841
Cl 7.959 2.805 5.686
Cl 9.205 7.689 5.688
CELL_PARAMETERS angstrom
9.719 0.000 0.000
0.000 9.048 0.000
0.000 0.000 5.691
```

CaNbP2O: relaxed, PBE-GGA. Values from VASP.

- Distance to the lowest polymorph of the same formula: 0 meV per atom
- DFT total energy: -6.608 eV/atom
- Energy relative to the elements, uncorrected: -1.0381 eV/atom

Quantum ESPRESSO input file:
```
&SYSTEM
  ibrav = 0, nat = 5, ntyp = 4
/
ATOMIC_SPECIES
Ca 40.08 Ca.upf
Nb 92.91 Nb.upf
P 30.97 P.upf
O 16.00 O.upf
ATOMIC_POSITIONS angstrom
Ca 0.000 0.000 0.000
Nb 2.489 2.489 1.977
P 0.000 2.489 1.977
P 2.489 0.000 1.977
O 2.489 2.489 0.000
CELL_PARAMETERS angstrom
4.977 0.000 0.000
0.000 4.977 0.000
0.000 0.000 3.953
```

Pr3HfTl4S8: relaxed, PBE-GGA. Values from VASP.

- DFT total energy: -5.501 eV/atom
- Energy relative to the elements, uncorrected: -1.3276 eV/atom

Quantum ESPRESSO input file:
```
&SYSTEM
  ibrav = 0, nat = 16, ntyp = 4
/
ATOMIC_SPECIES
Pr 140.91 Pr.upf
Hf 178.49 Hf.upf
Tl 204.38 Tl.upf
S 32.06 S.upf
ATOMIC_POSITIONS angstrom
Pr -2.039 -1.177 7.611
Pr -2.039 1.177 15.222
Pr 0.000 2.354 7.611
Hf 0.000 0.000 0.000
Tl -4.078 0.000 11.417
Tl -2.039 1.177 3.806
Tl 2.039 1.177 3.806
Tl 0.000 0.000 11.417
S 0.000 -2.578 9.101
S -2.233 1.289 9.101
S -2.233 -1.289 13.732
S 0.000 0.000 6.000
S 0.000 0.000 16.833
S 2.233 1.289 9.101
S 2.233 -1.289 13.732
S 0.000 2.578 13.732
CELL_PARAMETERS angstrom
4.078 2.354 7.611
-4.078 2.354 7.611
0.000 -4.708 7.611
```

Ag2Pb3Au3: relaxed, PBE-GGA. Values from VASP.

- DFT total energy: -3.374 eV/atom
- Calculated formation energy: -0.96 kcal/mol of atoms

Quantum ESPRESSO input file:
```
&SYSTEM
  ibrav = 0, nat = 16, ntyp = 3
/
ATOMIC_SPECIES
Ag 107.87 Ag.upf
Pb 207.20 Pb.upf
Au 196.97 Au.upf
ATOMIC_POSITIONS angstrom
Ag 0.000 4.964 0.000
Ag 0.000 4.964 2.854
Ag 4.299 2.482 0.000
Ag 4.299 2.482 2.854
Pb -1.078 1.867 1.427
Pb -3.221 5.579 4.281
Pb 2.156 0.000 1.427
Pb 1.078 1.867 4.281
Pb 6.442 0.000 4.281
Pb 3.221 5.579 1.427
Au -1.765 3.057 4.281
Au -2.534 4.390 1.427
Au 3.530 0.000 4.281
Au 1.765 3.057 1.427
Au 5.069 0.000 1.427
Au 2.534 4.390 4.281
CELL_PARAMETERS angstrom
8.598 0.000 0.000
-4.299 7.446 0.000
0.000 0.000 5.708
```

SrBe2GaH: relaxed, PBE-GGA. Values from VASP.

- DFT total energy: -2.681 eV/atom

Quantum ESPRESSO input file:
```
&SYSTEM
  ibrav = 0, nat = 5, ntyp = 4
/
ATOMIC_SPECIES
Sr 87.62 Sr.upf
Be 9.01 Be.upf
Ga 69.72 Ga.upf
H 1.01 H.upf
ATOMIC_POSITIONS angstrom
Sr 0.000 0.000 0.000
Be 0.000 2.089 2.641
Be 2.089 0.000 2.641
Ga 2.089 2.089 2.641
H 2.089 2.089 0.000
CELL_PARAMETERS angstrom
4.178 0.000 0.000
0.000 4.178 0.000
0.000 0.000 5.282
```

LuHg2Cl4: relaxed, PBE-GGA. Values from VASP.

- DFT total energy: -3.012 eV/atom
- Energy relative to the elements, uncorrected: -1.2242 eV/atom

Quantum ESPRESSO input file:
```
&SYSTEM
  ibrav = 0, nat = 14, ntyp = 3
/
ATOMIC_SPECIES
Lu 174.97 Lu.upf
Hg 200.59 Hg.upf
Cl 35.45 Cl.upf
ATOMIC_POSITIONS angstrom
Lu 0.000 0.000 0.000
Lu 2.538 2.538 10.989
Hg 0.000 0.000 5.312
Hg 0.000 0.000 16.667
Hg 2.538 2.538 5.678
Hg 2.538 2.538 16.301
Cl 0.000 0.000 2.579
Cl 0.000 0.000 19.400
Cl 0.000 2.538 0.000
Cl 0.000 2.538 10.989
Cl 2.538 0.000 0.000
Cl 2.538 0.000 10.989
Cl 2.538 2.538 8.410
Cl 2.538 2.538 13.568
CELL_PARAMETERS angstrom
5.077 0.000 0.000
0.000 5.077 0.000
0.000 0.000 21.979
```

SrAuC2: relaxed, PBE-GGA. Values from VASP.

- Distance to the lowest polymorph of the same formula: 142 meV per atom
- DFT total energy: -5.787 eV/atom
- Calculated formation energy: 1.49 kcal/mol of atoms

Quantum ESPRESSO input file:
```
&SYSTEM
  ibrav = 0, nat = 16, ntyp = 3
/
ATOMIC_SPECIES
Sr 87.62 Sr.upf
Au 196.97 Au.upf
C 12.01 C.upf
ATOMIC_POSITIONS angstrom
Sr -0.023 0.000 2.698
Sr 0.801 2.736 6.767
Sr 2.910 2.736 2.698
Sr 3.734 0.000 6.767
Au 1.467 1.368 0.000
Au 1.467 4.103 0.000
Au 4.400 1.368 0.000
Au 4.400 4.103 0.000
C -0.578 2.736 4.273
C 0.439 2.736 3.499
C 0.339 0.000 5.966
C 1.356 0.000 5.192
C 2.355 0.000 4.273
C 3.372 0.000 3.499
C 3.272 2.736 5.966
C 4.290 2.736 5.192
CELL_PARAMETERS angstrom
5.866 0.000 0.000
0.000 5.471 0.000
-2.155 0.000 9.465
```

NdTm2Se5: relaxed, PBE-GGA. Values from VASP.

- DFT total energy: -5.504 eV/atom
- Energy relative to the elements, uncorrected: -1.6119 eV/atom

Quantum ESPRESSO input file:
```
&SYSTEM
  ibrav = 0, nat = 16, ntyp = 3
/
ATOMIC_SPECIES
Nd 144.24 Nd.upf
Tm 168.93 Tm.upf
Se 78.96 Se.upf
ATOMIC_POSITIONS angstrom
Nd 0.000 0.000 3.298
Nd 0.000 0.000 9.893
Tm 4.983 1.183 0.000
Tm 1.183 2.616 0.000
Tm 2.616 1.183 6.595
Tm -1.183 2.616 6.595
Se 0.000 0.000 0.000
Se 2.624 1.175 -1.908
Se 2.624 -1.175 4.688
Se 2.624 1.175 1.908
Se 2.624 -1.175 8.503
Se 0.000 0.000 6.595
Se 1.175 4.974 -1.908
Se 1.175 2.624 4.688
Se 1.175 4.974 1.908
Se 1.175 2.624 8.503
CELL_PARAMETERS angstrom
-3.799 3.799 6.595
3.799 -3.799 6.595
3.799 3.799 -6.595
```

InCuH: relaxed, PBE-GGA. Values from VASP.

- Distance to the lowest polymorph of the same formula: 59 meV per atom
- DFT total energy: -3.211 eV/atom

Quantum ESPRESSO input file:
```
&SYSTEM
  ibrav = 0, nat = 6, ntyp = 3
/
ATOMIC_SPECIES
In 114.82 In.upf
Cu 63.55 Cu.upf
H 1.01 H.upf
ATOMIC_POSITIONS angstrom
In 0.000 0.000 0.000
In 0.903 3.099 2.004
Cu 0.974 0.941 3.716
Cu 3.062 1.240 2.075
H -0.457 0.325 3.178
H 2.397 1.786 0.599
CELL_PARAMETERS angstrom
4.370 0.000 0.000
-0.921 4.375 0.000
-0.497 -1.551 4.431
```

CsBa2Zr2: relaxed, PBE-GGA. Values from VASP.

- Distance to the lowest polymorph of the same formula: 64 meV per atom
- DFT total energy: -4.058 eV/atom
- Calculated formation energy: 6.94 kcal/mol of atoms

Quantum ESPRESSO input file:
```
&SYSTEM
  ibrav = 0, nat = 10, ntyp = 3
/
ATOMIC_SPECIES
Cs 132.91 Cs.upf
Ba 137.33 Ba.upf
Zr 91.22 Zr.upf
ATOMIC_POSITIONS angstrom
Cs 1.139 1.724 1.332
Cs 5.391 7.741 15.364
Ba 3.249 8.176 10.897
Ba 3.266 5.099 4.035
Ba 3.264 4.365 12.661
Ba 3.281 1.289 5.799
Zr 1.136 4.213 6.975
Zr 3.265 6.184 7.823
Zr 3.265 3.280 8.873
Zr 5.395 5.251 9.721
CELL_PARAMETERS angstrom
4.263 0.000 0.000
2.112 7.090 0.000
0.155 2.374 16.696
```

SbRhF2: relaxed, PBE-GGA. Values from VASP.

- Distance to the lowest polymorph of the same formula: 251 meV per atom
- DFT total energy: -4.562 eV/atom
- Energy relative to the elements, uncorrected: -0.7574 eV/atom

Quantum ESPRESSO input file:
```
&SYSTEM
  ibrav = 0, nat = 12, ntyp = 3
/
ATOMIC_SPECIES
Sb 121.76 Sb.upf
Rh 102.91 Rh.upf
F 19.00 F.upf
ATOMIC_POSITIONS angstrom
Sb 0.000 0.000 0.000
Sb 0.000 1.731 16.102
Sb 1.499 0.866 8.051
Rh 0.000 0.000 12.076
Rh 0.000 1.731 4.025
Rh 1.499 0.866 20.127
F 0.000 0.000 10.033
F 0.000 0.000 14.119
F 0.000 1.731 1.983
F 0.000 1.731 6.068
F 1.499 0.866 18.084
F 1.499 0.866 22.170
CELL_PARAMETERS angstrom
2.999 0.000 0.000
-1.499 2.597 0.000
0.000 0.000 24.152
```

AcBeH: relaxed, PBE-GGA. Values from VASP.

- DFT total energy: -3.777 eV/atom

Quantum ESPRESSO input file:
```
&SYSTEM
  ibrav = 0, nat = 12, ntyp = 3
/
ATOMIC_SPECIES
Ac 227.00 Ac.upf
Be 9.01 Be.upf
H 1.01 H.upf
ATOMIC_POSITIONS angstrom
Ac 0.000 1.867 1.081
Ac 0.000 11.919 3.244
Ac 1.878 5.026 3.244
Ac 1.878 8.760 1.081
Be 0.000 6.355 1.081
Be 0.000 7.431 3.244
Be 1.878 0.538 3.244
Be 1.878 13.248 1.081
H 0.000 0.627 3.244
H 0.000 13.159 1.081
H 1.878 6.266 1.081
H 1.878 7.520 3.244
CELL_PARAMETERS angstrom
3.755 0.000 0.000
0.000 13.786 0.000
0.000 0.000 4.325
```

UNiSe3: relaxed, PBE-GGA. Values from VASP.

- Distance to the lowest polymorph of the same formula: 0 meV per atom
- DFT total energy: -6.281 eV/atom
- Energy relative to the elements, uncorrected: -0.7765 eV/atom

Quantum ESPRESSO input file:
```
&SYSTEM
  ibrav = 0, nat = 20, ntyp = 3
/
ATOMIC_SPECIES
U 238.03 U.upf
Ni 58.69 Ni.upf
Se 78.96 Se.upf
ATOMIC_POSITIONS angstrom
U 1.008 2.218 0.433
U 2.693 6.654 3.559
U 4.710 2.218 2.692
U 6.395 6.654 5.817
Ni 0.000 0.000 3.125
Ni 0.000 4.436 3.125
Ni 3.702 0.000 0.000
Ni 3.702 4.436 0.000
Se 0.254 6.654 2.185
Se 1.241 4.887 5.219
Se 1.241 8.422 5.219
Se 2.461 0.450 2.094
Se 2.461 3.986 2.094
Se 3.447 2.218 5.310
Se 3.956 6.654 0.940
Se 4.943 4.887 4.156
Se 4.943 8.422 4.156
Se 6.163 0.450 1.031
Se 6.163 3.986 1.031
Se 7.149 2.218 4.066
CELL_PARAMETERS angstrom
7.404 0.000 0.000
0.000 8.872 0.000
0.000 0.000 6.250
```

Re2Sb: relaxed, PBE-GGA. Values from VASP.

- Distance to the lowest polymorph of the same formula: 591 meV per atom
- DFT total energy: -8.880 eV/atom
- Energy relative to the elements, uncorrected: 0.7932 eV/atom

Quantum ESPRESSO input file:
```
&SYSTEM
  ibrav = 0, nat = 6, ntyp = 2
/
ATOMIC_SPECIES
Re 186.21 Re.upf
Sb 121.76 Sb.upf
ATOMIC_POSITIONS angstrom
Re 0.000 0.000 0.000
Re 1.893 1.893 0.000
Re 1.893 0.000 1.893
Re 0.000 1.893 1.893
Sb 2.839 2.839 2.839
Sb 4.731 4.731 4.731
CELL_PARAMETERS angstrom
0.000 3.785 3.785
3.785 0.000 3.785
3.785 3.785 0.000
```

AlIO2: relaxed, PBE-GGA. Values from VASP.

- Distance to the lowest polymorph of the same formula: 24 meV per atom
- DFT total energy: -5.211 eV/atom
- Energy relative to the elements, uncorrected: -1.4090 eV/atom

Quantum ESPRESSO input file:
```
&SYSTEM
  ibrav = 0, nat = 12, ntyp = 3
/
ATOMIC_SPECIES
Al 26.98 Al.upf
I 126.90 I.upf
O 16.00 O.upf
ATOMIC_POSITIONS angstrom
Al 0.000 0.000 0.000
Al 0.000 1.751 13.746
Al 1.517 0.876 6.873
I 0.000 0.000 10.310
I 0.000 1.751 3.437
I 1.517 0.876 17.183
O 0.000 0.000 7.792
O 0.000 0.000 12.827
O 0.000 1.751 0.919
O 0.000 1.751 5.954
O 1.517 0.876 14.666
O 1.517 0.876 19.700
CELL_PARAMETERS angstrom
3.033 0.000 0.000
-1.517 2.627 0.000
0.000 0.000 20.620
```

Hf2FeB2: relaxed, PBE-GGA. Values from VASP.

- DFT total energy: -9.020 eV/atom
- Calculated formation energy: -15.56 kcal/mol of atoms

Quantum ESPRESSO input file:
```
&SYSTEM
  ibrav = 0, nat = 10, ntyp = 3
/
ATOMIC_SPECIES
Hf 178.49 Hf.upf
Fe 55.84 Fe.upf
B 10.81 B.upf
ATOMIC_POSITIONS angstrom
Hf 1.093 1.909 0.000
Hf 1.909 4.911 0.000
Hf 4.095 1.093 0.000
Hf 4.911 4.095 0.000
Fe 0.000 0.000 1.701
Fe 3.002 3.002 1.701
B 0.649 3.651 1.701
B 2.353 0.649 1.701
B 3.651 5.355 1.701
B 5.355 2.353 1.701
CELL_PARAMETERS angstrom
6.004 0.000 0.000
0.000 6.004 0.000
0.000 0.000 3.403
```

NbSbPd3: relaxed, PBE-GGA. Values from VASP.

- Distance to the lowest polymorph of the same formula: 0 meV per atom
- DFT total energy: -5.201 eV/atom
- Energy relative to the elements, uncorrected: 0.7535 eV/atom

Quantum ESPRESSO input file:
```
&SYSTEM
  ibrav = 0, nat = 5, ntyp = 3
/
ATOMIC_SPECIES
Nb 92.91 Nb.upf
Sb 121.76 Sb.upf
Pd 106.42 Pd.upf
ATOMIC_POSITIONS angstrom
Nb 0.000 0.000 0.000
Sb 2.429 2.429 2.429
Pd 0.000 2.429 2.429
Pd 2.429 0.000 2.429
Pd 2.429 2.429 0.000
CELL_PARAMETERS angstrom
4.858 0.000 0.000
0.000 4.858 0.000
0.000 0.000 4.858
```

K2BeFe: relaxed, PBE-GGA. Values from VASP.

- DFT total energy: -2.292 eV/atom
- Calculated formation energy: 30.06 kcal/mol of atoms

Quantum ESPRESSO input file:
```
&SYSTEM
  ibrav = 0, nat = 8, ntyp = 3
/
ATOMIC_SPECIES
K 39.10 K.upf
Be 9.01 Be.upf
Fe 55.84 Fe.upf
ATOMIC_POSITIONS angstrom
K 0.000 0.000 2.512
K 0.000 0.000 7.764
K 2.336 2.345 2.512
K 2.336 2.345 7.764
Be 0.000 2.345 0.000
Be 2.336 0.000 0.000
Fe 0.000 2.345 5.138
Fe 2.336 0.000 5.138
CELL_PARAMETERS angstrom
4.672 0.000 0.000
0.000 4.690 0.000
0.000 0.000 10.276
```

GdTaOsRu: relaxed, PBE-GGA. Values from VASP.

- DFT total energy: -11.804 eV/atom
- Calculated formation energy: -4.49 kcal/mol of atoms

Quantum ESPRESSO input file:
```
&SYSTEM
  ibrav = 0, nat = 16, ntyp = 4
/
ATOMIC_SPECIES
Gd 157.25 Gd.upf
Ta 180.95 Ta.upf
Os 190.23 Os.upf
Ru 101.07 Ru.upf
ATOMIC_POSITIONS angstrom
Gd 0.000 0.000 0.000
Gd 0.000 3.290 3.290
Gd 3.290 0.000 3.290
Gd 3.290 3.290 0.000
Ta 0.000 0.000 3.290
Ta 0.000 3.290 0.000
Ta 3.290 0.000 0.000
Ta 3.290 3.290 3.290
Os 1.645 1.645 1.645
Os 1.645 4.935 4.935
Os 4.935 1.645 4.935
Os 4.935 4.935 1.645
Ru 1.645 1.645 4.935
Ru 1.645 4.935 1.645
Ru 4.935 1.645 1.645
Ru 4.935 4.935 4.935
CELL_PARAMETERS angstrom
6.580 0.000 0.000
0.000 6.580 0.000
0.000 0.000 6.580
```

Sm6MgPt: relaxed, PBE-GGA. Values from VASP.

- DFT total energy: -4.572 eV/atom
- Calculated formation energy: -1.80 kcal/mol of atoms

Quantum ESPRESSO input file:
```
&SYSTEM
  ibrav = 0, nat = 16, ntyp = 3
/
ATOMIC_SPECIES
Sm 150.36 Sm.upf
Mg 24.30 Mg.upf
Pt 195.08 Pt.upf
ATOMIC_POSITIONS angstrom
Sm 0.778 2.401 1.478
Sm 0.778 9.418 1.478
Sm -0.652 0.000 4.661
Sm 1.303 5.910 1.343
Sm -0.127 3.508 4.526
Sm -0.127 8.311 4.526
Sm 4.431 3.508 1.478
Sm 4.431 8.311 1.478
Sm 3.001 5.910 4.661
Sm 4.956 0.000 1.343
Sm 3.526 2.401 4.526
Sm 3.526 9.418 4.526
Mg -1.501 5.910 3.002
Mg 2.152 0.000 3.002
Pt 0.000 0.000 0.000
Pt 3.653 5.910 0.000
CELL_PARAMETERS angstrom
7.306 0.000 0.000
0.000 11.820 0.000
-3.002 0.000 6.004
```